Record 1
Ni2AgRh after structural relaxation. Source: Alexandria via LeMat-Bulk, functional PBE.

abc: 2.7084 2.7084 25.9262
angles: 90.00 90.00 120.00
With the nearest neighbours (Å) after each atom.
Space group R-3m (No. 166, hexagonal axes)
Asymmetric unit:
Ni 0.0000 0.0000 0.2460 (multiplicity 6)  3 Rh 2.58, 6 Ni 2.71, 3 Ag 2.75
Ag 0.0000 0.0000 0.0000 (multiplicity 3)  6 Ag 2.71, 6 Ni 2.75
Rh 0.0000 0.0000 0.5000 (multiplicity 3)  6 Ni 2.58, 6 Rh 2.71

## Properties
Mass density ... 9.926 g cm⁻³
Raw total energy ... -63.01 eV/cell
M_tot ... 0.57 μB/atom
Formation energy from the elements ... 0.191 eV per atom
DOS at the Fermi energy ... 17.8 states/eV/cell

---

Record 2
Pm4CSeBr2 after structural relaxation. Source: Alexandria via LeMat-Bulk, functional PBE.

abc: 7.2271 3.9426 7.5280
angles: 90.00 107.51 90.00
With the nearest neighbours (Å) after each atom.
Space group P2/m (No. 10)
Asymmetric unit:
Pm 0.1979 0.0000 0.1899 (multiplicity 2)  2 C 2.60
Pm 0.2190 0.5000 0.8008 (multiplicity 2)  1 C 2.49
C 0.0000 0.5000 0.0000 (multiplicity 1)  6 Pm 2.49-2.60
Se 0.5000 0.0000 0.0000 (multiplicity 1)  6 Pm 2.90-2.95
Br 0.0000 0.0000 0.5000 (multiplicity 1)  6 Pm 3.06-3.08
Br 0.5000 0.5000 0.5000 (multiplicity 1)  6 Pm 3.32-3.47

## Properties
Mass density ... 6.744 g cm⁻³
Raw total energy ... -44.72 eV/cell
Formation energy without anion corrections ... -1.208 eV/atom
M_tot ... 0.00 μB/atom
DOS at the Fermi energy ... 1.5 states/eV/cell

---

Record 3
KAsW after structural relaxation. Source: Alexandria via LeMat-Bulk, functional PBE.

abc: 3.4209 3.4209 12.6874
angles: 90.00 90.00 90.00
With the nearest neighbours (Å) after each atom.
Space group I4mm (No. 107)
Asymmetric unit:
K 0.0000 0.0000 0.0000 (multiplicity 2)  4 K 3.42, 5 As 3.50-3.73, 5 W 3.56-3.69
As 0.0000 0.0000 0.2761 (multiplicity 2)  4 W 2.52
W 0.0000 0.0000 0.7193 (multiplicity 2)  4 As 2.52

## Properties
Mass density ... 6.663 g cm⁻³
Energy above the lowest structure with this stoichiometry ... 0.678 eV per atom
Raw total energy ... -34.22 eV/cell
M_tot ... 0.00 μB/atom
Formation energy from the elements ... 0.531 eV per atom
DOS at the Fermi energy ... 3.3 states/eV/cell

---

Record 4
NdTh5C6 after structural relaxation. Source: Alexandria via LeMat-Bulk, functional PBE.

abc: 6.5401 11.3214 6.5405
angles: 90.00 109.50 90.00
With the nearest neighbours (Å) after each atom.
Space group C2/m (No. 12)
Asymmetric unit:
Nd 0.0000 0.0000 0.0000 (multiplicity 2)  6 C 2.73-2.74
Th 0.0000 0.1664 0.5000 (multiplicity 4)  6 C 2.61-2.68
Th 0.0000 0.3329 0.0000 (multiplicity 4)  6 C 2.66
Th 0.0000 0.5000 0.5000 (multiplicity 2)  6 C 2.61-2.68
C 0.2421 0.5000 0.2542 (multiplicity 4)  5 Th 2.61-2.68, 1 Nd 2.74
C 0.2440 0.3287 0.7454 (multiplicity 8)  5 Th 2.61-2.68, 1 Nd 2.73

## Properties
Mass density ... 10.014 g cm⁻³
Raw total energy ... -199.53 eV/cell
M_tot ... 0.00 μB/atom
Formation energy from the elements ... -0.213 eV per atom
DOS at the Fermi energy ... 9.7 states/eV/cell